[1]
A relaxed structure of AlCu2Mo, computed with PBE.

Total moment, μB/f.u.: 0.00
Energy of formation from the pure elements, eV/f.u.: 0.50
E_tot, eV/cell: -22.269
Density of states at the Fermi level, states/eV/cell: 2.6

Cell: 8.866 8.866 8.866 Å, 17.53 17.53 17.53°
Atoms (fractional coordinates):
Mo: 0.250 0.250 0.250
Cu: 0.003 0.003 0.003
Cu: 0.497 0.497 0.497
Al: 0.750 0.750 0.750



[2]
A relaxed structure of BaSc2Zn, computed with PBE.

Total moment, μB/f.u.: 0.00
Energy of formation from the pure elements, eV/f.u.: 1.04
E_tot, eV/cell: -14.824
Density of states at the Fermi level, states/eV/cell: 5.7

Cell: 3.717 5.481 5.392 Å, 90.00 90.00 90.00°
Atoms (fractional coordinates):
Sc: 0.500 0.500 0.000
Sc: 0.000 0.000 0.000
Zn: 0.500 0.000 0.500
Ba: 0.000 0.500 0.500



[3]
A relaxed structure of La6TbTm4, computed with PBE.

Total moment, μB/f.u.: 0.00
Energy of formation from the pure elements, eV/f.u.: 1.08
E_tot, eV/cell: -102.010
Density of states at the Fermi level, states/eV/cell: 36.0

Cell: 5.863 5.738 26.260 Å, 90.00 90.00 120.73°
Atoms (fractional coordinates):
La: 0.815 0.631 0.403
La: 0.815 0.631 0.097
La: 0.468 0.937 0.250
La: 0.500 0.000 0.000
La: 0.185 0.369 0.903
La: 0.500 0.000 0.500
La: 0.858 0.717 0.681
La: 0.185 0.369 0.597
La: 0.142 0.283 0.319
La: 0.858 0.717 0.819
La: 0.532 0.063 0.750
La: 0.142 0.283 0.181
Tm: 0.524 0.047 0.875
Tm: 0.158 0.317 0.454
Tm: 0.476 0.953 0.125
Tm: 0.842 0.683 0.546
Tm: 0.524 0.047 0.625
Tm: 0.842 0.683 0.954
Tm: 0.158 0.317 0.046
Tm: 0.476 0.953 0.375
Tb: 0.806 0.613 0.250
Tb: 0.194 0.387 0.750



[4]
A relaxed structure of Hf3IrC, computed with PBE.

Total moment, μB/f.u.: 0.00
Energy of formation from the pure elements, eV/f.u.: -3.47
E_tot, eV/cell: -205.680
Density of states at the Fermi level, states/eV/cell: 14.1

Cell: 5.684 7.155 8.518 Å, 98.52 90.00 90.00°
Atoms (fractional coordinates):
Hf: 0.572 0.067 0.180
Hf: 0.646 0.359 0.900
Hf: 0.072 0.933 0.320
Hf: 0.928 0.067 0.680
Hf: 0.354 0.641 0.100
Hf: 0.917 0.786 0.946
Hf: 0.583 0.786 0.446
Hf: 0.428 0.933 0.820
Hf: 0.854 0.359 0.400
Hf: 0.083 0.214 0.054
Hf: 0.146 0.641 0.600
Hf: 0.417 0.214 0.554
Ir: 0.820 0.592 0.176
Ir: 0.680 0.592 0.676
Ir: 0.320 0.408 0.324
Ir: 0.180 0.408 0.824
C: 0.249 0.929 0.062
C: 0.751 0.071 0.938
C: 0.251 0.929 0.562
C: 0.749 0.071 0.438



[5]
A relaxed structure of Pm2Pr6DyTm, computed with PBE.

Total moment, μB/f.u.: 0.00
Energy of formation from the pure elements, eV/f.u.: 1.13
E_tot, eV/cell: -92.236
Density of states at the Fermi level, states/eV/cell: 29.0

Cell: 9.819 9.037 9.037 Å, 118.04 94.18 94.18°
Atoms (fractional coordinates):
Pr: 0.054 0.120 0.758
Pr: 0.554 0.758 0.120
Pr: 0.118 0.708 0.496
Pr: 0.691 0.010 0.570
Pr: 0.809 0.430 0.990
Pr: 0.191 0.570 0.010
Pr: 0.309 0.990 0.430
Pr: 0.618 0.496 0.708
Pr: 0.446 0.242 0.880
Pr: 0.382 0.504 0.292
Pr: 0.946 0.880 0.242
Pr: 0.882 0.292 0.504
Pm: 0.544 0.198 0.296
Pm: 0.956 0.704 0.802
Pm: 0.044 0.296 0.198
Pm: 0.456 0.802 0.704
Tm: 0.750 0.590 0.410
Tm: 0.250 0.410 0.590
Dy: 0.750 0.023 0.977
Dy: 0.250 0.977 0.023



[6]
A relaxed structure of BeGa2B2Ir5, computed with PBE.

Total moment, μB/f.u.: 0.00
Energy of formation from the pure elements, eV/f.u.: -3.09
E_tot, eV/cell: -141.055
Density of states at the Fermi level, states/eV/cell: 2.9

Cell: 2.887 9.252 9.252 Å, 90.00 90.00 90.00°
Atoms (fractional coordinates):
Ir: 0.500 0.086 0.802
Ir: 0.500 0.500 0.000
Ir: 0.500 0.414 0.302
Ir: 0.500 0.914 0.198
Ir: 0.500 0.302 0.586
Ir: 0.500 0.698 0.414
Ir: 0.500 0.198 0.086
Ir: 0.500 0.000 0.500
Ir: 0.500 0.802 0.914
Ir: 0.500 0.586 0.698
B: 0.000 0.133 0.633
B: 0.000 0.633 0.867
B: 0.000 0.367 0.133
B: 0.000 0.867 0.367
Ga: 0.000 0.827 0.673
Ga: 0.000 0.327 0.827
Ga: 0.000 0.673 0.173
Ga: 0.000 0.173 0.327
Be: 0.000 0.000 0.000
Be: 0.000 0.500 0.500



[7]
A relaxed structure of Nd3SmZn8, computed with PBE.

Total moment, μB/f.u.: 0.00
Energy of formation from the pure elements, eV/f.u.: -3.64
E_tot, eV/cell: -32.855
Density of states at the Fermi level, states/eV/cell: 7.1

Cell: 5.691 5.691 8.733 Å, 90.00 90.00 120.00°
Atoms (fractional coordinates):
Nd: 0.667 0.333 0.448
Nd: 0.000 0.000 0.947
Nd: 0.667 0.333 0.052
Zn: 0.168 0.337 0.251
Zn: 0.497 0.503 0.749
Zn: 0.333 0.667 0.001
Zn: 0.006 0.503 0.749
Zn: 0.497 0.994 0.749
Zn: 0.168 0.832 0.251
Zn: 0.333 0.667 0.499
Zn: 0.663 0.832 0.251
Sm: 0.000 0.000 0.553



[8]
A relaxed structure of BeFe2Se, computed with PBE.

Total moment, μB/f.u.: 4.39
E_tot, eV/cell: -23.382
Density of states at the Fermi level, states/eV/cell: 2.2

Cell: 4.206 4.206 4.217 Å, 81.61 81.61 41.89°
Last column: magnetic moment on the atom in μB.
Atoms (fractional coordinates):
Fe: 0.998 0.998 0.023  2.25
Fe: 0.502 0.502 0.477  2.25
Se: 0.750 0.750 0.750  0.02
Be: 0.250 0.250 0.250  -0.08



[9]
A relaxed structure of CaPr3P4, computed with PBE.

Total moment, μB/f.u.: 0.00
Energy of formation from the pure elements, eV/f.u.: -10.60
E_tot, eV/cell: -48.581
Density of states at the Fermi level, states/eV/cell: 3.1

Cell: 5.923 5.923 5.923 Å, 90.00 90.00 90.00°
Atoms (fractional coordinates):
P: 0.500 0.500 0.500
P: 0.500 0.000 0.000
P: 0.000 0.000 0.500
P: 0.000 0.500 0.000
Pr: 0.500 0.500 0.000
Pr: 0.000 0.500 0.500
Pr: 0.500 0.000 0.500
Ca: 0.000 0.000 0.000



[10]
A relaxed structure of Ca2SCl, computed with PBE.

Total moment, μB/f.u.: 0.00
E_tot, eV/cell: -16.214
Density of states at the Fermi level, states/eV/cell: 2.5

Cell: 4.946 4.946 4.946 Å, 60.00 60.00 60.00°
Atoms (fractional coordinates):
S: 0.000 0.000 0.000
Cl: 0.500 0.500 0.500
Ca: 0.750 0.750 0.750
Ca: 0.250 0.250 0.250



[11]
A relaxed structure of YBi2Pt2, computed with PBE.

Total moment, μB/f.u.: 0.00
Energy of formation from the pure elements, eV/f.u.: -1.12
E_tot, eV/cell: -27.431
Density of states at the Fermi level, states/eV/cell: 4.9

Cell: 4.184 4.184 7.576 Å, 73.97 73.97 90.00°
Atoms (fractional coordinates):
Pt: 0.750 0.250 0.500
Pt: 0.250 0.750 0.500
Bi: 0.615 0.615 0.770
Bi: 0.385 0.385 0.230
Y: 0.000 0.000 0.000



[12]
A relaxed structure of Ag5Cl, computed with PBE.

Total moment, μB/f.u.: 0.00
E_tot, eV/cell: -15.894
Density of states at the Fermi level, states/eV/cell: 1.4

Cell: 5.830 5.830 6.739 Å, 74.68 74.68 30.90°
Atoms (fractional coordinates):
Ag: 0.330 0.330 0.346
Ag: 0.954 0.954 0.594
Ag: 0.610 0.610 0.273
Ag: 0.660 0.660 0.669
Ag: 0.995 0.995 0.012
Cl: 0.285 0.285 0.939